# CoIr4Rh5

An optimized crystal structure of CoIr4Rh5 (PBE-GGA, Alexandria).

Structure (POSCAR):
```
CoIr4Rh5
1.0
2.720 0.000 0.000
0.000 2.720 0.000
0.000 0.000 18.949
Ir Rh Co
4 5 1
Direct
0.000 0.000 0.194 Ir
0.000 0.000 0.398 Ir
0.000 0.000 0.602 Ir
0.000 0.000 0.806 Ir
0.500 0.500 0.296 Rh
0.500 0.500 0.704 Rh
0.500 0.500 0.093 Rh
0.500 0.500 0.907 Rh
0.500 0.500 0.500 Rh
0.000 0.000 0.000 Co
```

Calculated values
As for the formation energy from the elements: 0.1 eV per formula unit. The calculation puts the uncorrected energy at -79.18 eV for the cell shown. As for the mass density: 15.9 Mg/m³.